A relaxed structure of RbTcAgTeSe2. Source: OQMD, functional PBE-GGA.

Computed properties:
energy	-4.33	eV/atom
size of the total moment	0.391	μB/atom
crystal system	orthorhombic

Lattice parameters (Å, degrees): 3.801 16.491 10.548 90.00 90.00 90.00
Space group Cmcm (No. 63)
Symmetry-distinct sites (fractional):
Rb 0.000 0.235 0.250 [4 per cell]
Tc 0.000 0.000 0.000 [4 per cell]
Ag 0.000 0.449 0.750 [4 per cell]
Te 0.000 0.072 0.750 [4 per cell]
Se 0.000 0.392 0.524 [8 per cell]